1.
Entry from Alexandria: UNb2NiP4 after structural relaxation (PBE-GGA).

extended XYZ file:
```
16
Lattice="-1.551 2.800 -1.729 -4.335 -4.512 0.411 -3.780 4.622 10.877" Properties=species:S:1:pos:R:3 pbc="T T T"
Nb -2.465 0.805 -0.312
Nb -7.201 2.105 9.871
P -5.365 2.919 5.713
U -3.992 2.762 8.055
U -5.674 0.148 1.504
P 0.000 0.000 0.000
P -1.890 2.311 5.438
Nb -3.881 2.537 3.764
Nb -5.785 0.373 5.795
P -7.417 0.677 7.751
P -3.341 -1.183 1.082
P -4.301 -0.009 3.846
P -2.249 2.234 1.808
Ni -2.504 0.206 2.581
Ni -7.162 2.704 6.978
P -6.325 4.093 8.477
```

Values from the calculation:
Energy: -8.064 eV per atom
Calculated formation energy: -5.7 eV per formula unit
Density of states at the Fermi level: 15.7 states/eV per cell

***

2.
Entry from Alexandria: NbNiP2W after structural relaxation (PBE-GGA).

extended XYZ file:
```
5
Lattice="4.669 0.000 0.000 0.000 4.527 0.000 0.000 0.000 4.669" Properties=species:S:1:pos:R:3 pbc="T T T"
P 2.334 0.000 0.000
W 2.334 2.263 2.334
Nb 0.000 0.000 0.000
P 0.000 0.000 2.334
Ni 0.000 2.263 0.000
```

Values from the calculation:
Energy: -6.565 eV per atom
Calculated formation energy: 6.8 eV per formula unit
Density of states at the Fermi level: 2.8 states/eV per cell

***

3.
Entry from Alexandria: Pa2NbNi after structural relaxation (PBE-GGA).

extended XYZ file:
```
4
Lattice="3.065 0.000 0.000 1.532 2.654 0.000 1.532 0.885 10.127" Properties=species:S:1:pos:R:3 pbc="T T T"
Pa 1.532 0.885 7.288
Pa 4.597 2.654 2.839
Nb 0.000 0.000 0.000
Ni 3.065 1.769 5.064
```

Values from the calculation:
Energy: -8.381 eV per atom
Calculated formation energy: 1.3 eV per formula unit
Density of states at the Fermi level: 6.0 states/eV per cell

***

4.
Entry from Alexandria: PaNbNi2 after structural relaxation (PBE-GGA).

extended XYZ file:
```
4
Lattice="-0.454 2.534 1.677 -2.558 0.296 1.675 2.853 -2.689 7.650" Properties=species:S:1:pos:R:3 pbc="T T T"
Ni 0.080 -0.077 2.952
Pa 0.000 0.000 0.000
Ni -0.238 0.218 8.049
Nb -0.079 0.070 5.501
```

Values from the calculation:
Energy: -7.625 eV per atom
Calculated formation energy: 0.6 eV per formula unit
Energy relative to the lowest polymorph listed for this composition: 315 meV per atom
Density of states at the Fermi level: 4.2 states/eV per cell

***

5.
Entry from Alexandria: PaNbNi2 after structural relaxation (PBE-GGA).

extended XYZ file:
```
4
Lattice="3.826 0.000 0.000 0.000 4.126 0.000 0.000 0.000 4.126" Properties=species:S:1:pos:R:3 pbc="T T T"
Ni 0.000 0.000 2.063
Ni 0.000 2.063 0.000
Pa 1.913 0.000 0.000
Nb 1.913 2.063 2.063
```

Values from the calculation:
Energy: -7.940 eV per atom
Calculated formation energy: -0.6 eV per formula unit
Energy relative to the lowest polymorph listed for this composition: 0 meV per atom
Density of states at the Fermi level: 5.6 states/eV per cell

***

6.
Entry from Alexandria: PaNbNi4 after structural relaxation (PBE-GGA).

extended XYZ file:
```
6
Lattice="-3.420 3.019 -1.910 -1.557 -0.654 -4.649 -4.573 -1.675 -0.864" Properties=species:S:1:pos:R:3 pbc="T T T"
Ni -3.690 1.262 -4.204
Pa 0.000 0.000 0.000
Ni -4.262 -1.067 -3.685
Nb -2.387 0.173 -1.856
Ni -5.187 0.755 -2.326
Ni -5.959 0.431 -4.633
```

Values from the calculation:
Energy: -7.358 eV per atom
Calculated formation energy: -1.5 eV per formula unit
Density of states at the Fermi level: 7.7 states/eV per cell

***

7.
Entry from Alexandria: PaNbNi after structural relaxation (PBE-GGA).

extended XYZ file:
```
3
Lattice="-1.684 -0.708 -2.384 -3.553 -0.745 2.731 0.707 4.141 -1.730" Properties=species:S:1:pos:R:3 pbc="T T T"
Pa -1.666 -0.701 -2.358
Ni -2.639 0.671 0.528
Nb -1.910 2.009 -1.937
```

Values from the calculation:
Energy: -8.258 eV per atom
Calculated formation energy: 0.6 eV per formula unit
Energy relative to the lowest polymorph listed for this composition: 234 meV per atom
Density of states at the Fermi level: 5.9 states/eV per cell

***

8.
Entry from Alexandria: Pa2Nb2Ni15 after structural relaxation (PBE-GGA).

extended XYZ file:
```
19
Lattice="6.357 0.040 0.036 0.864 6.298 0.036 0.864 0.759 6.253" Properties=species:S:1:pos:R:3 pbc="T T T"
Ni 0.432 0.379 3.126
Ni 0.864 2.487 4.313
Ni 0.432 3.149 0.018
Ni 3.218 2.824 5.251
Ni 3.218 5.541 2.203
Ni 4.868 1.556 4.121
Ni 2.578 4.346 0.036
Pa 2.804 2.461 2.193
Pa 5.282 4.636 4.131
Ni 4.644 0.264 1.975
Ni 3.179 0.020 0.018
Ni 0.864 4.570 1.975
Ni 4.868 4.272 1.072
Nb 7.277 6.386 5.691
Ni 2.174 4.625 4.121
Ni 5.912 2.472 2.203
Ni 4.644 1.992 0.036
Ni 2.578 0.534 4.313
Nb 0.809 0.710 0.633
```

Values from the calculation:
Energy: -6.913 eV per atom
Calculated formation energy: -5.5 eV per formula unit
Density of states at the Fermi level: 24.0 states/eV per cell

***

9.
Entry from Alexandria: PaNbNi3 after structural relaxation (PBE-GGA).

extended XYZ file:
```
20
Lattice="6.524 0.000 0.000 0.000 7.092 0.000 0.000 0.000 6.856" Properties=species:S:1:pos:R:3 pbc="T T T"
Pa 5.049 2.317 3.428
Pa 1.474 4.775 3.428
Ni 3.262 3.546 5.526
Ni 0.843 2.628 1.965
Nb 5.331 2.617 0.000
Ni 5.681 4.464 4.892
Ni 2.420 6.174 5.393
Nb 2.070 0.929 3.428
Pa 4.736 5.863 0.000
Nb 4.454 6.163 3.428
Ni 0.842 2.628 4.892
Ni 4.104 0.918 1.463
Ni 4.104 0.918 5.393
Ni 6.524 0.000 2.098
Ni 3.262 3.546 1.330
Ni 5.682 4.464 1.965
Pa 1.788 1.229 6.856
Nb 1.192 4.475 6.856
Ni 0.000 7.092 4.758
Ni 2.419 6.174 1.463
```

Values from the calculation:
Energy: -7.617 eV per atom
Calculated formation energy: -1.2 eV per formula unit
Density of states at the Fermi level: 19.1 states/eV per cell

***

10.
Entry from Alexandria: PaNbNi2 after structural relaxation (PBE-GGA).

extended XYZ file:
```
4
Lattice="-2.806 -0.712 1.211 -1.134 -0.448 -2.891 1.776 -6.477 0.307" Properties=species:S:1:pos:R:3 pbc="T T T"
Ni 0.374 -1.365 0.065
Pa -1.082 -3.819 -0.686
Ni 1.402 -5.112 0.242
Nb -1.970 -0.580 -0.840
```

Values from the calculation:
Energy: -7.891 eV per atom
Calculated formation energy: -0.4 eV per formula unit
Energy relative to the lowest polymorph listed for this composition: 49 meV per atom
Density of states at the Fermi level: 5.4 states/eV per cell

***

11.
Entry from Alexandria: PaNbNi after structural relaxation (PBE-GGA).

extended XYZ file:
```
3
Lattice="-2.539 1.459 0.472 -1.220 -1.370 -2.330 -0.056 -4.608 4.625" Properties=species:S:1:pos:R:3 pbc="T T T"
Ni -0.038 -0.091 0.073
Nb -2.443 -1.285 0.147
Pa -1.333 -3.143 2.545
```

Values from the calculation:
Energy: -8.492 eV per atom
Calculated formation energy: -0.1 eV per formula unit
Energy relative to the lowest polymorph listed for this composition: 0 meV per atom
Density of states at the Fermi level: 3.9 states/eV per cell

***

12.
Entry from Alexandria: Pa2NbNi9 after structural relaxation (PBE-GGA).

extended XYZ file:
```
12
Lattice="4.836 0.000 0.000 2.418 4.188 0.000 2.418 1.396 8.165" Properties=species:S:1:pos:R:3 pbc="T T T"
Ni 2.418 1.396 0.012
Ni 3.626 3.491 6.162
Ni 4.836 2.792 4.083
Pa 2.418 1.396 4.887
Pa 7.254 4.188 3.278
Ni 6.046 2.093 2.003
Ni 4.836 4.190 2.003
Ni 6.046 3.491 6.162
Nb 0.000 0.000 0.000
Ni 4.836 1.394 6.162
Ni 3.626 2.093 2.003
Ni 7.254 4.188 8.154
```

Values from the calculation:
Energy: -7.043 eV per atom
Calculated formation energy: -3.4 eV per formula unit
Density of states at the Fermi level: 13.9 states/eV per cell